1.
The following is a DFT calculation (PBE) of an optimized crystal structure of NbCr2Br.

Cell: 4.391 4.391 4.391 Å, 60.00 60.00 60.00°
Fractional positions:
Nb (0.000, 0.000, 0.000)
Cr (0.250, 0.250, 0.250)
Cr (0.750, 0.750, 0.750)
Br (0.500, 0.500, 0.500)

**Formation energy (no corrections)**: 1006.6 meV/atom
**Calculated volume**: 59.9 Å³/cell

2.
The following is a DFT calculation (PBE) of an optimized crystal structure of Fe2CoHg.

Cell: 4.946 4.946 4.946 Å, 143.30 128.50 64.89°
Fractional positions:
Fe (0.000, 0.000, 0.000)
Fe (0.767, 0.267, 0.500)
Co (0.536, 0.536, 0.000)
Hg (0.269, 0.769, 0.500)

**Energy**: -5.745 eV/atom
**Calculated volume**: 55.9 Å³/cell